1.
# Pm2ThRh (PBE-GGA, optimized geometry)
data_Pm2ThRh
_chemical_formula_sum 'Pm2 Th1 Rh1'
_space_group_name_H-M_alt 'P 1'
_space_group_IT_number 1
_cell_length_a 3.630
_cell_length_b 3.630
_cell_length_c 10.953
_cell_angle_alpha 80.46
_cell_angle_beta 80.46
_cell_angle_gamma 60.00
loop_
_space_group_symop_operation_xyz
'x,y,z'
loop_
_atom_site_label
_atom_site_fract_x
_atom_site_fract_y
_atom_site_fract_z
_atom_site_occupancy
Th1 0.000 0.000 0.000 1
Pm1 0.891 0.891 0.327 1
Pm2 0.109 0.109 0.673 1
Rh1 0.500 0.500 0.500 1
# DFT formation energy in eV per formula unit: -0.15
# Crystal system: trigonal
# ΔE to the lowest computed polymorph in kJ per mole of atoms: 39.9
# Raw total energy in Ry/atom: -0.4488
# ρ in Mg/m³: 8.5

2.
# CaPm2Rh (PBE-GGA, optimized geometry)
data_CaPm2Rh
_chemical_formula_sum 'Ca4 Pm8 Rh4'
_space_group_name_H-M_alt 'P 1'
_space_group_IT_number 1
_cell_length_a 6.407
_cell_length_b 6.851
_cell_length_c 11.885
_cell_angle_alpha 90.00
_cell_angle_beta 90.00
_cell_angle_gamma 90.00
loop_
_space_group_symop_operation_xyz
'x,y,z'
loop_
_atom_site_label
_atom_site_fract_x
_atom_site_fract_y
_atom_site_fract_z
_atom_site_occupancy
Ca1 0.750 0.432 0.750 1
Ca2 0.750 0.932 0.250 1
Ca3 0.250 0.068 0.750 1
Ca4 0.250 0.568 0.250 1
Pm1 0.257 0.584 0.915 1
Pm2 0.243 0.084 0.415 1
Pm3 0.243 0.584 0.585 1
Pm4 0.743 0.916 0.915 1
Pm5 0.257 0.084 0.085 1
Pm6 0.743 0.416 0.085 1
Pm7 0.757 0.416 0.415 1
Pm8 0.757 0.916 0.585 1
Rh1 0.000 0.250 0.582 1
Rh2 0.500 0.750 0.082 1
Rh3 0.500 0.250 0.918 1
Rh4 0.000 0.750 0.418 1
# DFT formation energy in eV per formula unit: -1.33
# Crystal system: orthorhombic
# ΔE to the lowest computed polymorph in kJ per mole of atoms: 5.8
# Raw total energy in Ry/atom: -0.3709
# ρ in Mg/m³: 5.5

3.
# Cd2GaCl (PBE-GGA, optimized geometry)
data_Cd2GaCl
_chemical_formula_sum 'Cd4 Ga2 Cl2'
_space_group_name_H-M_alt 'P 1'
_space_group_IT_number 1
_cell_length_a 6.880
_cell_length_b 6.880
_cell_length_c 7.209
_cell_angle_alpha 61.50
_cell_angle_beta 61.50
_cell_angle_gamma 90.00
loop_
_space_group_symop_operation_xyz
'x,y,z'
loop_
_atom_site_label
_atom_site_fract_x
_atom_site_fract_y
_atom_site_fract_z
_atom_site_occupancy
Cd1 0.375 0.359 0.750 1
Cd2 0.875 0.891 0.750 1
Cd3 0.641 0.125 0.250 1
Cd4 0.109 0.625 0.250 1
Ga1 0.000 0.000 0.000 1
Ga2 0.750 0.250 0.500 1
Cl1 0.500 0.500 0.000 1
Cl2 0.250 0.750 0.500 1
# Crystal system: tetragonal
# ΔE_f (raw) in eV per atom: -0.15
# ΔE to the lowest computed polymorph in kJ per mole of atoms: 0.0
# Raw total energy in Ry/atom: -0.1342
# ρ in Mg/m³: 4.4

4.
# Ba2TlIn4Au3 (PBE-GGA, optimized geometry)
data_Ba2TlIn4Au3
_chemical_formula_sum 'Ba2 Tl1 In4 Au3'
_space_group_name_H-M_alt 'P 1'
_space_group_IT_number 1
_cell_length_a 4.975
_cell_length_b 4.975
_cell_length_c 11.408
_cell_angle_alpha 90.00
_cell_angle_beta 90.00
_cell_angle_gamma 90.00
loop_
_space_group_symop_operation_xyz
'x,y,z'
loop_
_atom_site_label
_atom_site_fract_x
_atom_site_fract_y
_atom_site_fract_z
_atom_site_occupancy
Au1 0.000 0.500 0.121 1
Au2 0.000 0.000 0.500 1
Au3 0.500 0.000 0.879 1
In1 0.000 0.000 0.000 1
In2 0.500 0.000 0.638 1
In3 0.500 0.500 0.000 1
In4 0.000 0.500 0.362 1
Ba1 0.500 0.000 0.250 1
Ba2 0.000 0.500 0.750 1
Tl1 0.500 0.500 0.500 1
# DFT formation energy in eV per formula unit: -4.73
# Crystal system: tetragonal
# Raw total energy in Ry/atom: -0.2332
# ρ in Mg/m³: 9.0

5.
# LaHf2Br2 (PBE-GGA, optimized geometry)
data_LaHf2Br2
_chemical_formula_sum 'La1 Hf2 Br2'
_space_group_name_H-M_alt 'P 1'
_space_group_IT_number 1
_cell_length_a 4.188
_cell_length_b 4.188
_cell_length_c 7.631
_cell_angle_alpha 74.07
_cell_angle_beta 74.07
_cell_angle_gamma 90.00
loop_
_space_group_symop_operation_xyz
'x,y,z'
loop_
_atom_site_label
_atom_site_fract_x
_atom_site_fract_y
_atom_site_fract_z
_atom_site_occupancy
Hf1 0.750 0.250 0.500 1
Hf2 0.250 0.750 0.500 1
Br1 0.612 0.612 0.776 1
Br2 0.388 0.388 0.224 1
La1 0.000 0.000 0.000 1
# Crystal system: tetragonal
# ΔE_f (raw) in eV per atom: -0.21
# ΔE to the lowest computed polymorph in kJ per mole of atoms: 0.0
# Raw total energy in Ry/atom: -0.4300
# ρ in Mg/m³: 8.8

6.
# SmYAgBi (PBE-GGA, optimized geometry)
data_SmYAgBi
_chemical_formula_sum 'Sm1 Y1 Ag1 Bi1'
_space_group_name_H-M_alt 'P 1'
_space_group_IT_number 1
_cell_length_a 5.350
_cell_length_b 5.350
_cell_length_c 5.350
_cell_angle_alpha 60.00
_cell_angle_beta 60.00
_cell_angle_gamma 60.00
loop_
_space_group_symop_operation_xyz
'x,y,z'
loop_
_atom_site_label
_atom_site_fract_x
_atom_site_fract_y
_atom_site_fract_z
_atom_site_occupancy
Bi1 0.750 0.750 0.750 1
Ag1 0.250 0.250 0.250 1
Sm1 0.500 0.500 0.500 1
Y1 0.000 0.000 0.000 1
# DFT formation energy in eV per formula unit: -1.83
# Crystal system: cubic
# Raw total energy in Ry/atom: -0.3627
# ρ in Mg/m³: 8.5